# 1
Here is an optimized crystal structure of ScIO2 from the Alexandria database. Energies are from GGA-PBE.

Geometry as POSCAR:
```
ScIO2
1.0
6.093 0.000 0.000
0.000 6.093 0.000
0.000 0.000 6.093
Sc I O
4 4 8
Cartesian
0.000 0.000 0.000
0.000 3.046 3.046
3.046 0.000 3.046
3.046 3.046 0.000
0.000 0.000 3.046
0.000 3.046 0.000
3.046 0.000 0.000
3.046 3.046 3.046
1.523 1.523 1.523
1.523 1.523 4.570
1.523 4.570 1.523
1.523 4.570 4.570
4.570 1.523 1.523
4.570 1.523 4.570
4.570 4.570 1.523
4.570 4.570 4.570
```

The value obtained for the raw formation energy is -651 meV per atom. The volume comes out at 14.136 Å³ per atom. Its excess energy over the best structure of this formula in the dataset is 122.0 kJ/mol of atoms.

---

# 2
Here is an optimized crystal structure of Sr2PuPaP4 from the Alexandria database. Energies are from GGA-PBE.

Geometry as POSCAR:
```
Sr2PuPaP4
1.0
7.198 0.000 0.000
0.000 4.167 0.000
-2.419 0.000 6.905
Sr Pu Pa P
2 1 1 4
Cartesian
0.000 0.000 0.000
3.599 2.083 0.000
-1.209 2.083 3.453
2.390 0.000 3.453
0.030 0.000 4.918
1.246 2.083 1.975
3.533 2.083 4.931
4.749 0.000 1.987
```

The volume comes out at 25.890 Å³ per atom. The value obtained for the formation energy is -27.2 kcal/mol of atoms.

---

# 3
Here is an optimized crystal structure of SmSiOs from the Alexandria database. Energies are from GGA-PBE.

Geometry as POSCAR:
```
SmSiOs
1.0
4.121 0.000 0.000
-2.060 3.569 0.000
0.000 0.000 4.213
Sm Si Os
1 1 1
Cartesian
0.000 0.000 0.000
0.000 2.379 2.106
2.060 1.190 2.106
```

The value obtained for the raw formation energy is -470 meV per atom. The volume comes out at 20.650 Å³ per atom.

---

# 4
Here is an optimized crystal structure of Ca3SeO6 from the Alexandria database. Energies are from GGA-PBE.

Geometry as POSCAR:
```
Ca3SeO6
1.0
4.639 2.678 3.642
-4.639 2.678 3.642
0.000 -5.356 3.642
Ca Se O
6 2 12
Cartesian
-3.215 -0.838 5.015
-0.882 -3.204 5.909
-2.334 2.365 5.909
2.334 -2.365 5.015
0.882 3.204 5.015
3.215 0.838 5.909
0.000 0.000 0.000
0.000 0.000 5.462
-3.162 -2.890 6.200
-4.084 1.293 4.724
-0.956 -1.214 4.440
0.922 -4.183 4.724
-0.573 1.435 4.440
-1.529 0.221 6.485
1.529 -0.221 4.440
0.573 -1.435 6.485
-0.922 4.183 6.200
0.956 1.214 6.485
4.084 -1.293 6.200
3.162 2.890 4.724
```

The value obtained for the raw formation energy is -2162 meV per atom. The volume comes out at 13.572 Å³ per atom.